# PBE with a Hubbard U NdCr2SiO6, relaxed
data_NdCr2SiO6
_symmetry_space_group_name_H-M 'P 1'
_symmetry_Int_Tables_number 1
_cell_length_a 5.164
_cell_length_b 5.209
_cell_length_c 5.582
_cell_angle_alpha 114.98
_cell_angle_beta 90.04
_cell_angle_gamma 119.31
loop_
_symmetry_equiv_pos_as_xyz
'x,y,z'
loop_
_atom_site_label
_atom_site_type_symbol
_atom_site_fract_x
_atom_site_fract_y
_atom_site_fract_z
Nd1 Nd 0.000 0.000 0.000
Cr1 Cr 0.277 0.528 0.813
Cr2 Cr 0.777 0.558 0.371
Si1 Si 0.461 0.927 0.416
O1 O 0.089 0.713 0.163
O2 O 0.202 0.749 0.604
O3 O 0.434 0.519 0.160
O4 O 0.528 0.350 0.599
O5 O 0.641 0.079 0.185
O6 O 0.794 0.002 0.603
# Crystal system   triclinic
# E   -7.844 eV/atom
# Total magnetization   7.00 Bohr magnetons per cell